Entry 1:
Below is a relaxed LiCaAl2 crystal, with properties calculated at the PBE level.

Cell lengths 5.291, 7.214, 4.627 Å; angles 90.00, 90.00, 90.00 degrees
Space group Cmmm (No. 65)
One atom of each set of equivalent atoms:
Li  0.000  0.000  0.000 (multiplicity 2)
Ca  0.000  0.500  0.000 (multiplicity 2)
Al  0.000  0.182  0.500 (multiplicity 4)

Computed properties:
Energy above the most stable polymorph in this dataset = 194.5 meV/atom
Crystal system = orthorhombic
E_form = 35 meV/atom

---

Entry 2:
Below is a relaxed Sm3Zn4Pt4 crystal, with properties calculated at the PBE level.

Cell lengths 3.808, 4.303, 13.924 Å; angles 98.69, 97.78, 90.05 degrees
Space group P-1 (No. 2)
One atom of each set of equivalent atoms:
Sm  0.000  0.000  0.000 (multiplicity 1)
Sm  0.146  0.641  0.291 (multiplicity 2)
Zn  0.255  0.257  0.508 (multiplicity 2)
Zn  0.403  0.906  0.806 (multiplicity 2)
Pt  0.309  0.814  0.621 (multiplicity 2)
Pt  0.452  0.452  0.900 (multiplicity 2)

Computed properties:
Energy above the most stable polymorph in this dataset = 54.4 meV/atom
Crystal system = triclinic
E_form = -823 meV/atom

---

Entry 3:
Below is a relaxed Cu6Ni2Pt3 crystal, with properties calculated at the PBE level.

Cell lengths 4.469, 4.476, 14.753 Å; angles 87.09, 87.14, 78.48 degrees
Space group P-1 (No. 2)
One atom of each set of equivalent atoms:
Cu  0.083  0.385  0.144 (multiplicity 2)
Cu  0.157  0.653  0.398 (multiplicity 2)
Cu  0.311  0.604  0.562 (multiplicity 2)
Cu  0.348  0.844  0.102 (multiplicity 2)
Cu  0.383  0.082  0.644 (multiplicity 2)
Cu  0.396  0.688  0.938 (multiplicity 2)
Ni  0.125  0.234  0.981 (multiplicity 2)
Ni  0.234  0.125  0.481 (multiplicity 2)
Pt  0.081  0.180  0.313 (multiplicity 2)
Pt  0.178  0.080  0.813 (multiplicity 2)
Pt  0.483  0.515  0.750 (multiplicity 2)

Computed properties:
Crystal system = triclinic
E_form = 5 meV/atom

---

Entry 4:
Below is a relaxed FeCu3S8 crystal, with properties calculated at the PBE level.

Cell lengths 8.0300, 8.0300, 9.9775 Å; angles 90.00, 90.00, 120.00 degrees
Space group R-3 (No. 148, hexagonal axes)
One atom of each set of equivalent atoms:
Fe  0.0000  0.0000  0.0000 (multiplicity 3)
Cu  0.0000  0.5000  0.0000 (multiplicity 9)
S  0.0000  0.0000  0.3984 (multiplicity 6)
S  0.0286  0.2525  0.8738 (multiplicity 18)

Computed properties:
Energy above the most stable polymorph in this dataset = 0.0 meV/atom
ΔE_f (raw) = -0.19 eV/atom
Crystal system = trigonal

---

Entry 5:
Below is a relaxed Li3Cd2Pt3 crystal, with properties calculated at the PBE level.

Cell lengths 7.4799, 7.4799, 8.2379 Å; angles 90.00, 90.00, 120.00 degrees
Space group R32 (No. 155, hexagonal axes)
One atom of each set of equivalent atoms:
Li  0.0000  0.2531  0.0000 (multiplicity 9)
Cd  0.0000  0.0000  0.3024 (multiplicity 6)
Pt  0.0000  0.6867  0.5000 (multiplicity 9)

Computed properties:
Crystal system = trigonal
E_form = -501 meV/atom

---

Entry 6:
Below is a relaxed ErPuSiAg crystal, with properties calculated at the PBE level.

Cell lengths 7.134, 7.134, 7.134 Å; angles 90.00, 90.00, 90.00 degrees
Space group F-43m (No. 216)
One atom of each set of equivalent atoms:
Er  0.000  0.000  0.000 (multiplicity 4)
Pu  0.000  0.000  0.500 (multiplicity 4)
Si  0.250  0.250  0.250 (multiplicity 4)
Ag  0.250  0.250  0.750 (multiplicity 4)

Computed properties:
ΔE_f (raw) = -0.27 eV/atom
Crystal system = cubic

---

Entry 7:
Below is a relaxed Ba2ErS3 crystal, with properties calculated at the PBE level.

Cell lengths 4.302, 5.177, 16.617 Å; angles 90.00, 90.00, 90.00 degrees
Space group Immm (No. 71)
One atom of each set of equivalent atoms:
Ba  0.000  0.000  0.149 (multiplicity 4)
Er  0.000  0.000  0.500 (multiplicity 2)
S  0.000  0.000  0.339 (multiplicity 4)
S  0.000  0.500  0.500 (multiplicity 2)

Computed properties:
ΔE_f (raw) = -1.91 eV/atom
Crystal system = orthorhombic

---

Entry 8:
Below is a relaxed TiPbS2 crystal, with properties calculated at the PBE level.

Cell lengths 4.0404, 4.0404, 23.8720 Å; angles 90.00, 90.00, 120.00 degrees
Space group R-3m (No. 166, hexagonal axes)
One atom of each set of equivalent atoms:
Ti  0.0000  0.0000  0.0000 (multiplicity 3)
Pb  0.0000  0.0000  0.5000 (multiplicity 3)
S  0.0000  0.0000  0.0952 (multiplicity 6)

Computed properties:
ΔE_f (raw) = -0.18 eV/atom
Crystal system = trigonal

---

Entry 9:
Below is a relaxed Na2TiSe4 crystal, with properties calculated at the PBE level.

Cell lengths 6.799, 3.784, 7.754 Å; angles 90.00, 112.95, 90.00 degrees
Space group P2/m (No. 10)
One atom of each set of equivalent atoms:
Na  0.206  0.000  0.354 (multiplicity 2)
Ti  0.500  0.500  0.000 (multiplicity 1)
Se  0.085  0.500  0.889 (multiplicity 2)
Se  0.435  0.000  0.757 (multiplicity 2)

Computed properties:
ΔE_f (raw) = -0.86 eV/atom
Crystal system = monoclinic

---

Entry 10:
Below is a relaxed Pm4TlAg2Hg crystal, with properties calculated at the PBE level.

Cell lengths 5.3599, 5.3599, 26.2883 Å; angles 90.00, 90.00, 120.00 degrees
Space group R-3m (No. 166, hexagonal axes)
One atom of each set of equivalent atoms:
Pm  0.0000  0.0000  0.1230 (multiplicity 6)
Pm  0.0000  0.0000  0.3730 (multiplicity 6)
Tl  0.0000  0.0000  0.5000 (multiplicity 3)
Ag  0.0000  0.0000  0.2482 (multiplicity 6)
Hg  0.0000  0.0000  0.0000 (multiplicity 3)

Computed properties:
Crystal system = trigonal
E_form = -346 meV/atom

---

Entry 11:
Below is a relaxed Hf5NbP3 crystal, with properties calculated at the PBE level.

Cell lengths 10.996, 8.368, 8.986 Å; angles 90.00, 114.75, 90.00 degrees
Space group C2/m (No. 12)
One atom of each set of equivalent atoms:
Hf  0.000  0.204  0.000 (multiplicity 4)
Hf  0.051  0.000  0.351 (multiplicity 4)
Hf  0.158  0.293  0.681 (multiplicity 8)
Hf  0.240  0.500  0.040 (multiplicity 4)
Nb  0.089  0.500  0.296 (multiplicity 4)
P  0.000  0.500  0.000 (multiplicity 2)
P  0.000  0.500  0.500 (multiplicity 2)
P  0.169  0.000  0.171 (multiplicity 4)
P  0.179  0.000  0.654 (multiplicity 4)

Computed properties:
Crystal system = monoclinic
E_form = -590 meV/atom

---

Entry 12:
Below is a relaxed InMo2Pt crystal, with properties calculated at the PBE level.

Cell lengths 3.323, 3.323, 6.188 Å; angles 90.00, 90.00, 90.00 degrees
Space group P4mm (No. 99)
One atom of each set of equivalent atoms:
In  0.000  0.000  0.000 (multiplicity 1)
Mo  0.000  0.000  0.488 (multiplicity 1)
Mo  0.500  0.500  0.286 (multiplicity 1)
Pt  0.500  0.500  0.757 (multiplicity 1)

Computed properties:
Crystal system = tetragonal
E_form = 3 meV/atom

---

Entry 13:
Below is a relaxed BaTcCl2 crystal, with properties calculated at the PBE level.

Cell lengths 4.3743, 4.3743, 16.4893 Å; angles 90.00, 90.00, 120.00 degrees
Space group R-3m (No. 166, hexagonal axes)
One atom of each set of equivalent atoms:
Ba  0.0000  0.0000  0.0000 (multiplicity 3)
Tc  0.0000  0.0000  0.5000 (multiplicity 3)
Cl  0.0000  0.0000  0.2197 (multiplicity 6)

Computed properties:
Energy above the most stable polymorph in this dataset = 142.2 meV/atom
ΔE_f (raw) = -0.44 eV/atom
Crystal system = trigonal

---

Entry 14:
Below is a relaxed La2BIr2 crystal, with properties calculated at the PBE level.

Cell lengths 3.619, 3.619, 16.678 Å; angles 90.00, 90.00, 90.00 degrees
Space group I4/mmm (No. 139)
One atom of each set of equivalent atoms:
La  0.000  0.000  0.096 (multiplicity 4)
B  0.000  0.000  0.500 (multiplicity 2)
Ir  0.000  0.500  0.250 (multiplicity 4)

Computed properties:
Energy above the most stable polymorph in this dataset = 0.0 meV/atom
Crystal system = tetragonal
E_form = 96 meV/atom

---

Entry 15:
Below is a relaxed LaEuMgBi crystal, with properties calculated at the PBE level.

Cell lengths 7.996, 7.996, 7.996 Å; angles 90.00, 90.00, 90.00 degrees
Space group F-43m (No. 216)
One atom of each set of equivalent atoms:
La  0.000  0.000  0.000 (multiplicity 4)
Eu  0.000  0.000  0.500 (multiplicity 4)
Mg  0.250  0.250  0.750 (multiplicity 4)
Bi  0.250  0.250  0.250 (multiplicity 4)

Computed properties:
Crystal system = cubic
E_form = -428 meV/atom

---

Entry 16:
Below is a relaxed Er6In10Co crystal, with properties calculated at the PBE level.

Cell lengths 9.0045, 9.0045, 6.0618 Å; angles 90.00, 90.00, 120.00 degrees
Space group P-31m (No. 162)
One atom of each set of equivalent atoms:
Er  0.0000  0.3877  0.2752 (multiplicity 6)
In  0.0000  0.2325  0.7907 (multiplicity 6)
In  0.3333  0.6667  0.0000 (multiplicity 2)
In  0.3333  0.6667  0.5000 (multiplicity 2)
Co  0.0000  0.0000  0.5000 (multiplicity 1)

Computed properties:
Crystal system = trigonal
E_form = -238 meV/atom

---

Entry 17:
Below is a relaxed PmHoNiOs crystal, with properties calculated at the PBE level.

Cell lengths 6.870, 6.870, 6.870 Å; angles 90.00, 90.00, 90.00 degrees
Space group F-43m (No. 216)
One atom of each set of equivalent atoms:
Pm  0.000  0.000  0.000 (multiplicity 4)
Ho  0.000  0.000  0.500 (multiplicity 4)
Ni  0.250  0.250  0.250 (multiplicity 4)
Os  0.250  0.250  0.750 (multiplicity 4)

Computed properties:
Crystal system = cubic
E_form = -206 meV/atom

---

Entry 18:
Below is a relaxed FeTeMoH crystal, with properties calculated at the PBE level.

Cell lengths 6.751, 3.896, 6.222 Å; angles 90.00, 110.78, 90.00 degrees
Space group Cm (No. 8)
One atom of each set of equivalent atoms:
Fe  0.000  0.000  0.000 (multiplicity 2)
Te  0.229  0.500  0.193 (multiplicity 2)
Mo  0.289  0.000  0.867 (multiplicity 2)
H  0.190  0.000  0.569 (multiplicity 2)

Computed properties:
Energy above the most stable polymorph in this dataset = 209.1 meV/atom
Crystal system = monoclinic

---

Entry 19:
Below is a relaxed Hf5Al2H2 crystal, with properties calculated at the PBE level.

Cell lengths 13.838, 7.532, 6.067 Å; angles 90.00, 90.00, 90.00 degrees
Space group Ima2 (No. 46)
One atom of each set of equivalent atoms:
Hf  0.042  0.248  0.000 (multiplicity 8)
Hf  0.132  0.562  0.249 (multiplicity 8)
Hf  0.250  0.198  0.264 (multiplicity 4)
Al  0.103  0.565  0.741 (multiplicity 8)
H  0.000  0.000  0.598 (multiplicity 4)
H  0.250  0.060  0.610 (multiplicity 4)

Computed properties:
Electronic total energy = -7.229 eV per atom
Crystal system = orthorhombic

---

Entry 20:
Below is a relaxed RbTcBi2 crystal, with properties calculated at the PBE level.

Cell lengths 7.603, 7.603, 7.603 Å; angles 90.00, 90.00, 90.00 degrees
Space group Fm-3m (No. 225)
One atom of each set of equivalent atoms:
Rb  0.000  0.000  0.000 (multiplicity 4)
Tc  0.000  0.000  0.500 (multiplicity 4)
Bi  0.250  0.250  0.250 (multiplicity 8)

Computed properties:
Energy above the most stable polymorph in this dataset = 337.9 meV/atom
Crystal system = cubic
E_form = 712 meV/atom

---

Entry 21:
Below is a relaxed SrLi3Te crystal, with properties calculated at the PBE level.

Cell lengths 5.660, 5.660, 5.660 Å; angles 90.00, 90.00, 90.00 degrees
Space group Pm-3m (No. 221)
One atom of each set of equivalent atoms:
Sr  0.000  0.000  0.000 (multiplicity 1)
Li  0.000  0.000  0.500 (multiplicity 3)
Te  0.500  0.500  0.500 (multiplicity 1)

Computed properties:
Energy above the most stable polymorph in this dataset = 1012.4 meV/atom
ΔE_f (raw) = 0.66 eV/atom
Crystal system = cubic

---

Entry 22:
Below is a relaxed Al5Fe4Os crystal, with properties calculated at the PBE level.

Cell lengths 2.919, 2.919, 14.443 Å; angles 90.00, 90.00, 90.00 degrees
Space group P4/mmm (No. 123)
One atom of each set of equivalent atoms:
Al  0.000  0.000  0.000 (multiplicity 1)
Al  0.000  0.000  0.196 (multiplicity 2)
Al  0.000  0.000  0.392 (multiplicity 2)
Fe  0.500  0.500  0.098 (multiplicity 2)
Fe  0.500  0.500  0.292 (multiplicity 2)
Os  0.500  0.500  0.500 (multiplicity 1)

Computed properties:
Crystal system = tetragonal
E_form = -324 meV/atom

---

Entry 23:
Below is a relaxed NdYMgPd crystal, with properties calculated at the PBE level.

Cell lengths 7.390, 7.390, 7.390 Å; angles 90.00, 90.00, 90.00 degrees
Space group F-43m (No. 216)
One atom of each set of equivalent atoms:
Nd  0.000  0.000  0.000 (multiplicity 4)
Y  0.000  0.000  0.500 (multiplicity 4)
Mg  0.250  0.250  0.250 (multiplicity 4)
Pd  0.250  0.250  0.750 (multiplicity 4)

Computed properties:
Crystal system = cubic
E_form = -363 meV/atom

---

Entry 24:
Below is a relaxed MnHIr2Ru crystal, with properties calculated at the PBE level.

Cell lengths 3.865, 3.865, 3.885 Å; angles 90.00, 90.00, 90.00 degrees
Space group P4/mmm (No. 123)
One atom of each set of equivalent atoms:
Mn  0.000  0.000  0.000 (multiplicity 1)
H  0.000  0.000  0.500 (multiplicity 1)
Ir  0.000  0.500  0.500 (multiplicity 2)
Ru  0.500  0.500  0.000 (multiplicity 1)

Computed properties:
Energy above the most stable polymorph in this dataset = 15.2 meV/atom
Crystal system = tetragonal

---

| no. | total magnetic moment (Bohr magnetons per cell) |
| --- | --- |
| 1 | 0.00 |
| 2 | 0.00 |
| 3 | 1.40 |
| 4 | 0.00 |
| 5 | 0.00 |
| 6 | 24.87 |
| 7 | 0.00 |
| 8 | 0.00 |
| 9 | 0.00 |
| 10 | 2.26 |
| 11 | 0.00 |
| 12 | 0.00 |
| 13 | 3.02 |
| 14 | 0.00 |
| 15 | 30.95 |
| 16 | 0.01 |
| 17 | 0.00 |
| 18 | 0.00 |
| 19 | 0.00 |
| 20 | 8.77 |
| 21 | 0.00 |
| 22 | 3.24 |
| 23 | 0.00 |
| 24 | 2.29 |